Entry 1:
{"formula": "Re2SbCl", "functional": "PBE-GGA", "state": "optimized geometry", "dos_ef_per_ev_fu": 2.0, "de_polymorph_mev_per_atom": 126, "formation_energy_uncorrected_ev_per_atom": 0.177, "cell": [[2.983, 0.000, 0.000], [0.000, 2.983, 0.000], [0.000, 0.000, 9.131]], "species": ["Cl", "Re", "Sb", "Re"], "fractional_positions": [[0.500, 0.500, 0.839], [0.000, 0.000, 0.028], [0.000, 0.000, 0.427], [0.500, 0.500, 0.206]]}


Entry 2:
{"formula": "Re2SbCl", "functional": "PBE-GGA", "state": "optimized geometry", "dos_ef_per_ev_fu": 3.1, "de_polymorph_mev_per_atom": 1075, "formation_energy_uncorrected_ev_per_atom": 1.126, "cell": [[3.210, 0.000, 0.000], [0.000, 3.210, 0.000], [0.000, 0.000, 6.396]], "species": ["Re", "Re", "Sb", "Cl"], "fractional_positions": [[0.000, 0.000, 0.500], [0.000, 0.000, 0.000], [0.500, 0.500, 0.250], [0.500, 0.500, 0.750]]}


Entry 3:
{"formula": "Re2SbCl", "functional": "PBE-GGA", "state": "optimized geometry", "dos_ef_per_ev_fu": 3.9, "de_polymorph_mev_per_atom": 1087, "formation_energy_uncorrected_ev_per_atom": 1.138, "cell": [[-1.691, 0.282, 4.249], [5.165, -1.793, -0.150], [1.830, 2.570, 0.851]], "species": ["Sb", "Re", "Cl", "Re"], "fractional_positions": [[0.000, 0.500, 0.500], [0.500, 0.000, 0.500], [0.500, 0.500, 0.000], [0.000, 0.000, 0.000]]}


Entry 4:
{"formula": "Re2SbCl", "functional": "PBE-GGA", "state": "optimized geometry", "dos_ef_per_ev_fu": 3.3, "de_polymorph_mev_per_atom": 1372, "formation_energy_uncorrected_ev_per_atom": 1.423, "cell": [[-1.201, 1.303, 5.526], [-3.845, -4.343, 0.189], [1.201, -4.748, 4.428]], "species": ["Re", "Cl", "Re", "Re", "Cl", "Sb", "Sb", "Re"], "fractional_positions": [[0.570, 0.125, 0.250], [0.500, 0.500, 0.000], [0.875, 0.820, 0.750], [0.375, 0.430, 0.750], [0.250, 0.750, 0.500], [0.750, 0.250, 0.500], [0.000, 0.000, 0.000], [0.180, 0.625, 0.250]]}